VASP calculation (PBE) on GaNCl3 after structural relaxation.

Cell lengths 4.5535, 4.5535, 4.5535 Å; angles 90.00, 90.00, 90.00 degrees
With the nearest neighbours (Å) after each atom.
Fractional positions:
Ga 0.0000 0.0000 0.0000  12 Cl 3.22
N 0.5000 0.5000 0.5000  6 Cl 2.28
Cl 0.0000 0.5000 0.5000  2 N 2.28
Cl 0.5000 0.0000 0.5000  2 N 2.28
Cl 0.5000 0.5000 0.0000  2 N 2.28

Output
ΔE to the lowest computed polymorph   0.748 eV per formula unit
Total magnetic moment   0.000 μB/cell
Symmetry   Pm-3m (221)
Uncorrected formation energy   0.5994 eV/atom